Y4TlAuC2 | PBE | optimized geometry

abc: 3.6621 3.6621 15.1090
angles: 90.00 90.00 120.00
Closest atoms and distances in Å follow each position.
Space group P-6m2 (No. 187)
Symmetry-distinct sites (fractional):
Y 0.0000 0.0000 0.1472 (multiplicity 2)  3 C 2.49
Y 0.6667 0.3333 0.3251 (multiplicity 2)  3 C 2.52
Tl 0.0000 0.0000 0.5000 (multiplicity 1)  6 Y 3.38, 6 Tl 3.66
Au 0.6667 0.3333 0.0000 (multiplicity 1)  6 Y 3.07
C 0.3333 0.6667 0.2339 (multiplicity 2)  6 Y 2.49-2.52

Computed properties:
**E_tot**: -53.564 eV per cell


Zr4TlAuC2 | PBE | optimized geometry

abc: 3.3639 3.3639 14.6865
angles: 90.00 90.00 120.00
Closest atoms and distances in Å follow each position.
Space group P-6m2 (No. 187)
Symmetry-distinct sites (fractional):
Zr 0.0000 0.0000 0.1551 (multiplicity 2)  3 C 2.34
Zr 0.6667 0.3333 0.3273 (multiplicity 2)  3 C 2.30
Tl 0.0000 0.0000 0.5000 (multiplicity 1)  6 Zr 3.20, 6 Tl 3.36
Au 0.6667 0.3333 0.0000 (multiplicity 1)  6 Zr 2.99
C 0.3333 0.6667 0.2434 (multiplicity 2)  6 Zr 2.30-2.34

Computed properties:
**E_tot**: -63.337 eV per cell


W2AuC | PBE | optimized geometry

abc: 3.1128 3.1128 13.5662
angles: 90.00 90.00 120.00
Closest atoms and distances in Å follow each position.
Space group P6_3/mmc (No. 194)
Symmetry-distinct sites (fractional):
W 0.3333 0.6667 0.0825 (multiplicity 4)  3 C 2.12
Au 0.3333 0.6667 0.7500 (multiplicity 2)  6 W 2.90, 6 Au 3.11
C 0.0000 0.0000 0.0000 (multiplicity 2)  6 W 2.12

Computed properties:
**E_tot**: -75.380 eV per cell


W2AuC | PBE | optimized geometry

abc: 9.3462 5.3942 13.9225
angles: 90.00 102.95 90.00
Closest atoms and distances in Å follow each position.
Space group C2/c (No. 15)
Symmetry-distinct sites (fractional):
W 0.0554 0.0831 0.4173 (multiplicity 8)  3 C 2.12
W 0.1106 0.4159 0.5821 (multiplicity 8)  3 C 2.11-2.12
W 0.2227 0.4170 0.9179 (multiplicity 8)  3 C 2.11-2.12
Au 0.0000 0.4197 0.2500 (multiplicity 4)  6 W 2.90-2.91, 6 Au 3.11-3.13
Au 0.1679 0.0830 0.7504 (multiplicity 8)  6 W 2.89-2.90, 6 Au 3.10-3.14
C 0.0834 0.2499 0.0002 (multiplicity 8)  6 W 2.11-2.12
C 0.2500 0.2500 0.5000 (multiplicity 4)  6 W 2.11-2.12

Computed properties:
**E_tot**: -452.290 eV per cell


Y2W4Au3C3 | PBE | optimized geometry

abc: 9.7499 5.6489 14.0954
angles: 90.00 103.86 90.00
Closest atoms and distances in Å follow each position.
Space group C2/c (No. 15)
Symmetry-distinct sites (fractional):
Y 0.0371 0.0791 0.3811 (multiplicity 8)  3 C 2.49-2.53
W 0.1089 0.4012 0.5721 (multiplicity 8)  3 C 2.08-2.18
W 0.2326 0.4248 0.9277 (multiplicity 8)  3 C 2.09-2.17
Au 0.0000 0.4480 0.7500 (multiplicity 4)  4 Au 2.84, 4 W 2.95-2.96
Au 0.2339 0.1465 0.7531 (multiplicity 8)  4 Au 2.84-2.85, 4 W 2.92-2.93, 1 Y 3.13
C 0.0854 0.2556 0.9998 (multiplicity 8)  4 W 2.09-2.18
C 0.2500 0.2500 0.5000 (multiplicity 4)  4 W 2.08-2.09

Computed properties:
**E_tot**: -421.616 eV per cell


ZnW4AuC2 | PBE | optimized geometry

abc: 3.0818 3.0818 13.5245
angles: 90.00 90.00 120.00
Closest atoms and distances in Å follow each position.
Space group P-6m2 (No. 187)
Symmetry-distinct sites (fractional):
Zn 0.0000 0.0000 0.0000 (multiplicity 1)  6 W 2.81, 6 Zn 3.08
W 0.0000 0.0000 0.3304 (multiplicity 2)  3 C 2.11
W 0.3333 0.6667 0.1612 (multiplicity 2)  3 C 2.12
Au 0.3333 0.6667 0.5000 (multiplicity 1)  6 W 2.90, 6 Au 3.08
C 0.6667 0.3333 0.2465 (multiplicity 2)  6 W 2.11-2.12

Computed properties:
**E_tot**: -73.339 eV per cell


Zr2W4Au3C3 | PBE | optimized geometry

abc: 9.5865 5.5340 13.9234
angles: 90.00 103.38 90.00
Closest atoms and distances in Å follow each position.
Space group C2/c (No. 15)
Symmetry-distinct sites (fractional):
Zr 0.0438 0.0805 0.3917 (multiplicity 8)  3 C 2.34-2.38
W 0.1089 0.4064 0.5761 (multiplicity 8)  3 C 2.09-2.17
W 0.2295 0.4212 0.9239 (multiplicity 8)  3 C 2.09-2.17
Au 0.0000 0.4981 0.7500 (multiplicity 4)  4 Au 2.88, 4 W 2.89-2.90, 2 Zr 3.02
Au 0.2096 0.1250 0.7517 (multiplicity 8)  4 W 2.87-2.88, 4 Au 2.88, 2 Zr 2.99-3.01
C 0.0829 0.2485 0.0000 (multiplicity 8)  4 W 2.09-2.17, 2 Zr 2.34
C 0.2500 0.2500 0.5000 (multiplicity 4)  4 W 2.09

Computed properties:
**E_tot**: -437.556 eV per cell


Zr4W2Au3C3 | PBE | optimized geometry

abc: 9.8243 5.6834 14.2338
angles: 90.00 103.66 90.00
Closest atoms and distances in Å follow each position.
Space group C2/c (No. 15)
Symmetry-distinct sites (fractional):
Zr 0.1168 0.0743 0.0977 (multiplicity 8)  3 C 2.31-2.35
Zr 0.2123 0.0886 0.4024 (multiplicity 8)  3 C 2.31-2.35
W 0.0643 0.4124 0.9296 (multiplicity 8)  3 C 2.08-2.13
Au 0.0000 0.1290 0.7500 (multiplicity 4)  2 Au 2.85, 4 Zr 2.91-2.92, 2 W 2.96
Au 0.1447 0.4369 0.2481 (multiplicity 8)  2 Au 2.85-2.86, 4 Zr 2.91-2.96, 2 W 2.98-3.00
C 0.0812 0.2554 0.5000 (multiplicity 8)  2 W 2.13, 4 Zr 2.31-2.35
C 0.2500 0.2500 0.0000 (multiplicity 4)  2 W 2.08

Computed properties:
**E_tot**: -413.462 eV per cell